No. 1
A relaxed structure of PRu2Au. Source: Alexandria via LeMat-Bulk, functional PBE.

Computed properties:
calculated formation energy = -1.1 kJ per mole of atoms
crystal system = monoclinic
VASP energy = -6.82 eV/atom

Geometry as extended XYZ:
```
4
Lattice="2.973 0.000 0.000 0.000 3.657 0.000 -1.422 0.000 5.469" Properties=species:S:1:pos:R:3 pbc="T T T"
P 0.000 0.000 0.000
Ru 0.736 1.829 1.157
Ru 0.815 1.829 4.311
Au -0.711 0.000 2.734
```


No. 2
A relaxed structure of PRu3Au. Source: Alexandria via LeMat-Bulk, functional PBE.

Computed properties:
calculated formation energy = 44.1 kJ per mole of atoms
crystal system = cubic
VASP energy = -6.85 eV/atom

Geometry as extended XYZ:
```
5
Lattice="4.360 0.000 0.000 0.000 4.360 0.000 0.000 0.000 4.360" Properties=species:S:1:pos:R:3 pbc="T T T"
P 0.000 0.000 0.000
Ru 0.000 0.000 2.180
Ru 0.000 2.180 0.000
Ru 2.180 0.000 0.000
Au 2.180 2.180 2.180
```


No. 3
A relaxed structure of P2RuAu. Source: Alexandria via LeMat-Bulk, functional PBE.

Computed properties:
calculated formation energy = 10.3 kJ per mole of atoms
crystal system = tetragonal
VASP energy = -5.74 eV/atom

Geometry as extended XYZ:
```
4
Lattice="2.856 0.000 0.000 0.000 2.856 0.000 0.000 0.000 7.832" Properties=species:S:1:pos:R:3 pbc="T T T"
P 0.000 0.000 1.511
P 0.000 0.000 6.322
Ru 1.428 1.428 0.000
Au 1.428 1.428 3.916
```


No. 4
A relaxed structure of P2RuAu. Source: Alexandria via LeMat-Bulk, functional PBE.

Computed properties:
calculated formation energy = 37.0 kJ per mole of atoms
crystal system = tetragonal
VASP energy = -5.46 eV/atom

Geometry as extended XYZ:
```
8
Lattice="4.130 0.000 0.000 0.000 4.130 0.000 0.000 0.000 6.958" Properties=species:S:1:pos:R:3 pbc="T T T"
P 0.000 2.065 1.739
P 0.000 2.065 5.218
P 2.065 0.000 1.739
P 2.065 0.000 5.218
Ru 0.000 0.000 0.000
Ru 2.065 2.065 3.479
Au 0.000 0.000 3.479
Au 2.065 2.065 0.000
```


No. 5
A relaxed structure of PRu2Au. Source: Alexandria via LeMat-Bulk, functional PBE.

Computed properties:
calculated formation energy = -6.2 kJ per mole of atoms
crystal system = trigonal
VASP energy = -6.87 eV/atom

Geometry as extended XYZ:
```
12
Lattice="3.656 0.000 0.000 -1.828 3.166 0.000 0.000 0.000 16.637" Properties=species:S:1:pos:R:3 pbc="T T T"
P 0.000 0.000 0.000
P 0.000 2.111 11.091
P 1.828 1.055 5.546
Ru 0.000 0.000 4.601
Ru 0.000 0.000 12.036
Ru 0.000 2.111 6.491
Ru 0.000 2.111 15.692
Ru 1.828 1.055 0.945
Ru 1.828 1.055 10.146
Au 0.000 0.000 8.319
Au 0.000 2.111 2.773
Au 1.828 1.055 13.864
```


No. 6
A relaxed structure of PRu2Au. Source: Alexandria via LeMat-Bulk, functional PBE.

Computed properties:
calculated formation energy = 7.4 kJ per mole of atoms
crystal system = orthorhombic
VASP energy = -6.73 eV/atom

Geometry as extended XYZ:
```
8
Lattice="2.905 0.000 0.000 0.000 4.586 0.000 0.000 0.000 8.820" Properties=species:S:1:pos:R:3 pbc="T T T"
P 0.000 0.000 0.000
P 1.452 2.293 4.410
Ru 0.000 2.293 2.605
Ru 0.000 2.293 6.215
Ru 1.452 0.000 1.805
Ru 1.452 0.000 7.016
Au 0.000 0.000 4.410
Au 1.452 2.293 0.000
```


No. 7
A relaxed structure of P2RuAu. Source: Alexandria via LeMat-Bulk, functional PBE.

Computed properties:
calculated formation energy = 11.8 kJ per mole of atoms
crystal system = monoclinic
VASP energy = -5.72 eV/atom

Geometry as extended XYZ:
```
8
Lattice="7.652 0.000 0.000 0.000 3.072 0.000 -0.632 0.000 5.350" Properties=species:S:1:pos:R:3 pbc="T T T"
P 1.564 0.000 1.065
P 1.630 1.536 4.285
P 5.390 1.536 1.065
P 5.457 0.000 4.285
Ru 0.000 1.536 0.000
Ru 3.826 0.000 0.000
Au -0.316 0.000 2.675
Au 3.510 1.536 2.675
```


No. 8
A relaxed structure of P4RuAu. Source: Alexandria via LeMat-Bulk, functional PBE.

Computed properties:
calculated formation energy = 79.5 kJ per mole of atoms
crystal system = cubic
VASP energy = -4.88 eV/atom

Geometry as extended XYZ:
```
6
Lattice="0.000 3.565 3.565 3.565 0.000 3.565 3.565 3.565 0.000" Properties=species:S:1:pos:R:3 pbc="T T T"
P 2.681 2.681 2.681
P 4.450 4.450 2.681
P 4.450 2.681 4.450
P 2.681 4.450 4.450
Ru 0.000 0.000 0.000
Au 5.348 5.348 5.348
```


No. 9
A relaxed structure of PRuAu2. Source: Alexandria via LeMat-Bulk, functional PBE.

Computed properties:
calculated formation energy = -1.2 kJ per mole of atoms
crystal system = tetragonal
VASP energy = -5.32 eV/atom

Geometry as extended XYZ:
```
4
Lattice="2.988 0.000 0.000 0.000 2.988 0.000 0.000 0.000 7.204" Properties=species:S:1:pos:R:3 pbc="T T T"
P 0.000 0.000 0.000
Ru 1.494 1.494 1.074
Au 0.000 0.000 3.158
Au 1.494 1.494 5.200
```


No. 10
A relaxed structure of P2RuAu. Source: Alexandria via LeMat-Bulk, functional PBE.

Computed properties:
calculated formation energy = 3.6 kJ per mole of atoms
crystal system = trigonal
VASP energy = -5.81 eV/atom

Geometry as extended XYZ:
```
12
Lattice="3.015 0.000 0.000 -1.507 2.611 0.000 0.000 0.000 23.279" Properties=species:S:1:pos:R:3 pbc="T T T"
P 0.000 0.000 5.603
P 0.000 0.000 17.676
P 0.000 1.741 9.917
P 0.000 1.741 21.122
P 1.507 0.870 2.157
P 1.507 0.870 13.363
Ru 0.000 0.000 11.640
Ru 0.000 1.741 3.880
Ru 1.507 0.870 19.399
Au 0.000 0.000 0.000
Au 0.000 1.741 15.520
Au 1.507 0.870 7.760
```


No. 11
A relaxed structure of P2RuAu. Source: Alexandria via LeMat-Bulk, functional PBE.

Computed properties:
calculated formation energy = -8.6 kJ per mole of atoms
crystal system = monoclinic
VASP energy = -5.93 eV/atom

Geometry as extended XYZ:
```
8
Lattice="7.847 0.000 0.000 0.000 2.972 0.000 -0.362 0.000 5.805" Properties=species:S:1:pos:R:3 pbc="T T T"
P 0.000 0.000 0.000
P 1.567 1.486 3.360
P 3.923 1.486 0.000
P 5.490 0.000 3.360
Ru 1.847 0.000 5.156
Ru 5.770 1.486 5.156
Au 3.341 0.000 2.056
Au 7.265 1.486 2.056
```


No. 12
A relaxed structure of P2RuAu. Source: Alexandria via LeMat-Bulk, functional PBE.

Computed properties:
calculated formation energy = 27.2 kJ per mole of atoms
crystal system = orthorhombic
VASP energy = -5.56 eV/atom

Geometry as extended XYZ:
```
8
Lattice="2.818 0.000 0.000 0.000 4.765 0.000 0.000 0.000 10.532" Properties=species:S:1:pos:R:3 pbc="T T T"
P 0.000 0.000 1.952
P 0.000 0.000 8.580
P 1.409 2.382 1.952
P 1.409 2.382 8.580
Ru 0.000 2.382 0.000
Ru 1.409 0.000 0.000
Au 0.000 2.382 5.266
Au 1.409 0.000 5.266
```